(A)
Tb3NiSn after structural relaxation. Source: Alexandria via LeMat-Bulk, functional PBE-GGA.

Results
Magnetization   0.00 μB/f.u.
Crystal system   monoclinic

Cell: 16.394 3.701 8.682 Å, 90.00 93.33 90.00°
Space group C2/m (No. 12)
Inequivalent atoms, fractional coordinates:
Tb (0.047, 0.000, 0.206)
Tb (0.105, 0.500, 0.548)
Tb (0.243, 0.500, 0.213)
Ni (0.209, 0.000, 0.440)
Sn (0.113, 0.500, 0.922)



(B)
Tb3NiSn after structural relaxation. Source: Alexandria via LeMat-Bulk, functional PBE-GGA.

Results
Magnetization   0.00 μB/f.u.
Crystal system   cubic

Cell: 5.180 5.180 5.180 Å, 90.00 90.00 90.00°
Space group Pm-3m (No. 221)
Inequivalent atoms, fractional coordinates:
Tb (0.000, 0.000, 0.500)
Ni (0.000, 0.000, 0.000)
Sn (0.500, 0.500, 0.500)



Here is how they stack up, most stable first: (A), (B).



(A)
TbNi3Sn2 after structural relaxation. Source: Alexandria via LeMat-Bulk, functional PBE-GGA.

Results
Magnetization   0.00 μB/f.u.
Crystal system   hexagonal

Cell: 9.2954 9.2954 4.2639 Å, 90.00 90.00 120.00°
Space group P-62m (No. 189)
Inequivalent atoms, fractional coordinates:
Tb (0.0000, 0.0000, 0.0000)
Tb (0.3333, 0.6667, 0.5000)
Ni (0.0000, 0.7060, 0.5000)
Ni (0.1670, 0.3750, 0.0000)
Sn (0.0000, 0.2566, 0.5000)
Sn (0.0000, 0.5303, 0.0000)



(B)
TbNi3Sn2 after structural relaxation. Source: Alexandria via LeMat-Bulk, functional PBE-GGA.

Results
Magnetization   0.00 μB/f.u.
Crystal system   hexagonal

Cell: 9.5518 9.5518 4.0606 Å, 90.00 90.00 120.00°
Space group P6/mmm (No. 191)
Inequivalent atoms, fractional coordinates:
Tb (0.0000, 0.0000, 0.0000)
Tb (0.3333, 0.6667, 0.5000)
Ni (0.0000, 0.5000, 0.0000)
Ni (0.1854, 0.3708, 0.0000)
Sn (0.0000, 0.3233, 0.5000)



Here is how they stack up, most stable first: (A), (B).



(A)
TbNi3Sn3 after structural relaxation. Source: Alexandria via LeMat-Bulk, functional PBE-GGA.

Results
Magnetization   0.00 μB/f.u.
Crystal system   cubic

Cell: 6.884 6.884 6.884 Å, 90.00 90.00 90.00°
Space group Pm-3n (No. 223)
Inequivalent atoms, fractional coordinates:
Tb (0.000, 0.000, 0.000)
Ni (0.000, 0.250, 0.500)
Sn (0.000, 0.500, 0.250)



(B)
TbNi3Sn3 after structural relaxation. Source: Alexandria via LeMat-Bulk, functional PBE-GGA.

Results
Magnetization   0.00 μB/f.u.
Crystal system   trigonal

Cell: 8.0250 8.0250 15.2269 Å, 90.00 90.00 120.00°
Space group R-3 (No. 148, hexagonal axes)
Inequivalent atoms, fractional coordinates:
Tb (0.0000, 0.0000, 0.1699)
Ni (0.0024, 0.3513, 0.4420)
Sn (0.0109, 0.2970, 0.6086)



Here is how they stack up, most stable first: (B), (A).



(A)
TcNiSn after structural relaxation. Source: Alexandria via LeMat-Bulk, functional PBE-GGA.

Results
Magnetization   0.00 μB/f.u.
Crystal system   orthorhombic

Cell: 4.556 8.711 4.794 Å, 90.00 90.00 90.00°
Space group Amm2 (No. 38)
Inequivalent atoms, fractional coordinates:
Tc (0.000, 0.177, 0.000)
Ni (0.500, 0.205, 0.679)
Sn (0.000, 0.000, 0.517)
Sn (0.500, 0.000, 0.066)



(B)
TcNiSn after structural relaxation. Source: Alexandria via LeMat-Bulk, functional PBE-GGA.

Results
Magnetization   0.00 μB/f.u.
Crystal system   monoclinic

Cell: 8.911 3.419 6.899 Å, 90.00 110.18 90.00°
Space group C2/m (No. 12)
Inequivalent atoms, fractional coordinates:
Tc (0.134, 0.000, 0.459)
Ni (0.131, 0.500, 0.168)
Sn (0.140, 0.500, 0.792)



Here is how they stack up, most stable first: (B), (A).